## CsTlH (PBE)

Data for a relaxed CsTlH crystal.

Properties
The relative energy among the computed polymorphs is 98 meV per atom.

Structure (extended XYZ):
```
6
Lattice="4.560 0.000 0.000 0.000 4.560 0.000 0.000 0.000 9.164" Properties=species:S:1:pos:R:3 pbc="T T T"
Cs 1.140 1.140 1.553
Cs 3.420 3.420 7.611
Tl 1.140 1.140 5.179
Tl 3.420 3.420 3.984
H 1.140 1.140 7.506
H 3.420 3.420 1.658
```